Compound: Ta2CrSi
Source: Alexandria via LeMat-Bulk
Functional: GGA-PBE
Structure: optimized geometry

a b c (Å): 8.9466 8.9466 8.9466
angles (deg): 18.72 18.72 18.72
Last column: nearest neighbours and their distance in Å.
Positions (direct):
Cr  0.4942  0.4942  0.4942  3 Si 2.54, 3 Ta 2.76
Ta  0.0064  0.0064  0.0064  3 Si 2.74, 9 Ta 2.91-3.03
Ta  0.2440  0.2440  0.2440  3 Cr 2.76, 9 Ta 2.91-3.03
Si  0.7554  0.7554  0.7554  3 Cr 2.54, 3 Ta 2.74

Computed properties:
formation energy from raw total energies	200	meV/atom
N(E_F)	0.924	states/eV/atom
SG	R3m

Compound: Ta3CrSi
Source: Alexandria via LeMat-Bulk
Functional: GGA-PBE
Structure: optimized geometry

a b c (Å): 4.6403 4.6403 4.6403
angles (deg): 90.00 90.00 90.00
Last column: nearest neighbours and their distance in Å.
Positions (direct):
Si  0.0000  0.0000  0.0000  6 Ta 2.32
Ta  0.0000  0.5000  0.0000  2 Si 2.32
Ta  0.0000  0.0000  0.5000  2 Si 2.32
Cr  0.5000  0.5000  0.5000  12 Ta 3.28
Ta  0.5000  0.0000  0.0000  2 Si 2.32

Computed properties:
formation energy from raw total energies	965	meV/atom
N(E_F)	1.011	states/eV/atom
SG	Pm-3m
offset from the most stable computed form	0	meV per atom

Compound: TaCrSi4
Source: Alexandria via LeMat-Bulk
Functional: GGA-PBE
Structure: optimized geometry

a b c (Å): 4.8740 4.8740 4.8740
angles (deg): 60.00 60.00 60.00
Last column: nearest neighbours and their distance in Å.
Positions (direct):
Ta  0.7500  0.7500  0.7500  12 Si 2.86, 4 Cr 2.98
Si  0.3747  0.3747  0.3747  6 Si 2.43-2.44
Si  0.3747  0.8759  0.3747  6 Si 2.43-2.44
Si  0.8759  0.3747  0.3747  6 Si 2.43-2.44
Cr  0.0000  0.0000  0.0000  12 Si 2.86, 4 Ta 2.98
Si  0.3747  0.3747  0.8759  6 Si 2.43-2.44

Computed properties:
formation energy from raw total energies	269	meV/atom
N(E_F)	0.698	states/eV/atom
SG	F-43m
offset from the most stable computed form	613	meV per atom

Which of these has the highest formation energy from raw total energies? Ta3CrSi

Repeat the third record exactly.
Compound: TaCrSi4
Source: Alexandria via LeMat-Bulk
Functional: GGA-PBE
Structure: optimized geometry

a b c (Å): 4.8740 4.8740 4.8740
angles (deg): 60.00 60.00 60.00
Last column: nearest neighbours and their distance in Å.
Positions (direct):
Ta  0.7500  0.7500  0.7500  12 Si 2.86, 4 Cr 2.98
Si  0.3747  0.3747  0.3747  6 Si 2.43-2.44
Si  0.3747  0.8759  0.3747  6 Si 2.43-2.44
Si  0.8759  0.3747  0.3747  6 Si 2.43-2.44
Cr  0.0000  0.0000  0.0000  12 Si 2.86, 4 Ta 2.98
Si  0.3747  0.3747  0.8759  6 Si 2.43-2.44

Computed properties:
formation energy from raw total energies	269	meV/atom
N(E_F)	0.698	states/eV/atom
SG	F-43m
offset from the most stable computed form	613	meV per atom

What did the second record say?
Compound: Ta3CrSi
Source: Alexandria via LeMat-Bulk
Functional: GGA-PBE
Structure: optimized geometry

a b c (Å): 4.6403 4.6403 4.6403
angles (deg): 90.00 90.00 90.00
Last column: nearest neighbours and their distance in Å.
Positions (direct):
Si  0.0000  0.0000  0.0000  6 Ta 2.32
Ta  0.0000  0.5000  0.0000  2 Si 2.32
Ta  0.0000  0.0000  0.5000  2 Si 2.32
Cr  0.5000  0.5000  0.5000  12 Ta 3.28
Ta  0.5000  0.0000  0.0000  2 Si 2.32

Computed properties:
formation energy from raw total energies	965	meV/atom
N(E_F)	1.011	states/eV/atom
SG	Pm-3m
offset from the most stable computed form	0	meV per atom